This record from Alexandria via LeMat-Bulk describes a relaxed structure of La2Ho3Er3. The functional is PBE-GGA.

a = 5.082 Å, b = 5.082 Å, c = 10.637 Å
α = 103.82°, β = 103.82°, γ = 90.00°
Fractional coordinates of all 8 atoms:
Er  0.121  0.121  0.243
Er  0.879  0.879  0.757
Er  0.000  0.500  0.000
Ho  0.500  0.000  0.000
Ho  0.621  0.621  0.243
Ho  0.379  0.379  0.757
La  0.250  0.750  0.499
La  0.750  0.250  0.501

Summary:
For the relative energy among the computed polymorphs, the calculation gives 0.00 eV per formula unit. Its space group is Immm, No. 71.

=====

This record from Alexandria via LeMat-Bulk describes a relaxed structure of Pr3Sc5Se12. The functional is PBE-GGA.

a = 14.306 Å, b = 14.306 Å, c = 14.306 Å
α = 109.47°, β = 109.47°, γ = 109.47°
Fractional coordinates of all 80 atoms:
Sc  0.500  0.500  0.000
Sc  0.625  0.875  0.250
Sc  0.500  0.000  0.500
Sc  0.000  0.000  0.500
Sc  0.500  0.000  0.000
Sc  0.000  0.500  0.000
Sc  0.750  0.125  0.875
Sc  0.875  0.250  0.625
Sc  0.375  0.125  0.750
Sc  0.125  0.375  0.250
Sc  0.000  0.500  0.500
Sc  0.250  0.875  0.125
Sc  0.750  0.625  0.375
Sc  0.125  0.750  0.375
Sc  0.375  0.250  0.125
Sc  0.250  0.375  0.625
Sc  0.000  0.000  0.000
Sc  0.625  0.750  0.875
Sc  0.875  0.625  0.750
Sc  0.500  0.500  0.500
Se  0.587  0.963  0.676
Se  0.676  0.213  0.589
Se  0.037  0.624  0.713
Se  0.463  0.787  0.876
Se  0.876  0.287  0.463
Se  0.824  0.913  0.037
Se  0.037  0.413  0.824
Se  0.411  0.287  0.324
Se  0.376  0.963  0.787
Se  0.713  0.589  0.176
Se  0.413  0.037  0.324
Se  0.624  0.037  0.213
Se  0.587  0.624  0.411
Se  0.213  0.537  0.624
Se  0.589  0.876  0.413
Se  0.087  0.911  0.124
Se  0.913  0.089  0.876
Se  0.876  0.589  0.913
Se  0.287  0.411  0.824
Se  0.787  0.463  0.376
Se  0.324  0.787  0.411
Se  0.413  0.376  0.589
Se  0.787  0.324  0.911
Se  0.911  0.087  0.624
Se  0.913  0.824  0.537
Se  0.089  0.176  0.213
Se  0.713  0.124  0.037
Se  0.411  0.124  0.587
Se  0.624  0.587  0.911
Se  0.376  0.413  0.089
Se  0.589  0.713  0.676
Se  0.963  0.587  0.176
Se  0.824  0.911  0.287
Se  0.287  0.876  0.963
Se  0.176  0.089  0.713
Se  0.213  0.676  0.089
Se  0.176  0.087  0.963
Se  0.087  0.176  0.463
Se  0.537  0.324  0.913
Se  0.963  0.376  0.287
Se  0.463  0.676  0.087
Se  0.089  0.913  0.376
Se  0.324  0.537  0.413
Se  0.124  0.411  0.087
Se  0.911  0.824  0.787
Se  0.537  0.213  0.124
Se  0.676  0.463  0.587
Se  0.124  0.713  0.537
Pr  0.125  0.875  0.750
Pr  0.625  0.250  0.375
Pr  0.125  0.250  0.875
Pr  0.625  0.375  0.750
Pr  0.375  0.625  0.250
Pr  0.250  0.625  0.875
Pr  0.250  0.125  0.375
Pr  0.875  0.750  0.125
Pr  0.750  0.875  0.625
Pr  0.875  0.125  0.250
Pr  0.750  0.375  0.125
Pr  0.375  0.750  0.625

Summary:
The calculation puts the uncorrected formation energy at -1.6669 eV per atom. Its space group is Ia-3d, No. 230.

=====

This record from Alexandria via LeMat-Bulk describes a relaxed structure of Ac2TbTl4. The functional is PBE-GGA.

a = 5.553 Å, b = 5.553 Å, c = 8.703 Å
α = 108.60°, β = 108.60°, γ = 90.00°
Fractional coordinates of all 7 atoms:
Tl  0.895  0.395  0.791
Tl  0.105  0.605  0.209
Tl  0.395  0.895  0.791
Tl  0.605  0.105  0.209
Tb  0.000  0.000  0.000
Ac  0.746  0.746  0.491
Ac  0.254  0.254  0.509

Summary:
For the relative energy among the computed polymorphs, the calculation gives 0.43 eV per formula unit. Its space group is I4/mmm, No. 139.

=====

This record from Alexandria via LeMat-Bulk describes a relaxed structure of InSi2Se. The functional is PBE-GGA.

a = 3.623 Å, b = 3.623 Å, c = 6.523 Å
α = 90.00°, β = 90.00°, γ = 90.00°
Fractional coordinates of all 4 atoms:
Se  0.500  0.500  0.750
Si  0.000  0.000  0.936
Si  0.000  0.000  0.564
In  0.500  0.500  0.250

Summary:
The calculation puts the uncorrected formation energy at 0.4064 eV per atom. Its space group is P4/mmm, No. 123.

=====

This record from Alexandria via LeMat-Bulk describes a relaxed structure of KBe4Ir. The functional is PBE-GGA.

a = 4.736 Å, b = 4.736 Å, c = 4.736 Å
α = 60.00°, β = 60.00°, γ = 60.00°
Fractional coordinates of all 6 atoms:
Be  0.379  0.862  0.379
Be  0.379  0.379  0.862
Be  0.379  0.379  0.379
Be  0.862  0.379  0.379
K  0.000  0.000  0.000
Ir  0.750  0.750  0.750

Summary:
Its space group is F-43m, No. 216.

=====

This record from Alexandria via LeMat-Bulk describes a relaxed structure of ThPaTc2. The functional is PBE-GGA.

a = 3.960 Å, b = 3.960 Å, c = 6.884 Å
α = 73.29°, β = 73.29°, γ = 60.00°
Fractional coordinates of all 4 atoms:
Tc  0.255  0.255  0.236
Tc  0.745  0.745  0.764
Th  0.500  0.500  0.500
Pa  0.000  0.000  0.000

Summary:
For the relative energy among the computed polymorphs, the calculation gives 1.14 eV per formula unit. Its space group is R-3m, No. 166.

=====

This record from Alexandria via LeMat-Bulk describes a relaxed structure of CaAc6Tl5. The functional is PBE-GGA.

a = 5.848 Å, b = 8.351 Å, c = 10.236 Å
α = 114.07°, β = 106.60°, γ = 90.00°
Fractional coordinates of all 12 atoms:
Ac  0.175  0.432  0.349
Ac  0.500  0.728  0.000
Ac  0.825  0.568  0.651
Ac  0.500  0.272  0.000
Ac  0.175  0.917  0.349
Ac  0.825  0.083  0.651
Tl  0.649  0.149  0.298
Tl  0.000  0.500  0.000
Tl  0.332  0.332  0.663
Tl  0.668  0.668  0.337
Tl  0.351  0.851  0.702
Ca  0.000  0.000  0.000

Summary:
For the relative energy among the computed polymorphs, the calculation gives 0.00 eV per formula unit. Its space group is Immm, No. 71.

=====

This record from Alexandria via LeMat-Bulk describes a relaxed structure of AcNdHoEr. The functional is PBE-GGA.

a = 5.854 Å, b = 5.854 Å, c = 5.854 Å
α = 60.00°, β = 60.00°, γ = 60.00°
Fractional coordinates of all 4 atoms:
Nd  0.750  0.750  0.750
Er  0.500  0.500  0.500
Ho  0.000  0.000  0.000
Ac  0.250  0.250  0.250

Summary:
For the relative energy among the computed polymorphs, the calculation gives 0.17 eV per formula unit. Its space group is F-43m, No. 216.

=====

| no. | DFT total energy (eV per atom) |
| --- | --- |
| 1 | -4.625 |
| 2 | -6.057 |
| 3 | -3.407 |
| 4 | -3.861 |
| 5 | -3.549 |
| 6 | -9.283 |
| 7 | -3.492 |
| 8 | -4.396 |